[1]
# Ac6CoOs2 (GGA-PBE, relaxed)
# Calculated total energy   -54.4 eV for the cell shown
# Magnetization   0.000 μB per cell
# DOS at the Fermi energy   0.5837 states/eV per atom
# Formation enthalpy at 0 K   -1.4 kJ per mole of atoms
data_Ac6CoOs2
_cell_length_a 9.2994
_cell_length_b 9.2994
_cell_length_c 8.2481
_cell_angle_alpha 98.10
_cell_angle_beta 98.10
_cell_angle_gamma 27.27
_symmetry_space_group_name_H-M 'P 1'
_symmetry_Int_Tables_number 1
loop_
_symmetry_equiv_pos_as_xyz
'x,y,z'
loop_
_atom_site_label
_atom_site_type_symbol
_atom_site_fract_x
_atom_site_fract_y
_atom_site_fract_z
Ac1 Ac 0.0034 0.0034 0.2367
Ac2 Ac 0.3309 0.3309 0.4299
Ac3 Ac 0.3375 0.3375 0.9130
Ac4 Ac 0.6625 0.6625 0.0870
Ac5 Ac 0.6691 0.6691 0.5701
Ac6 Ac 0.9966 0.9966 0.7633
Co1 Co 0.5000 0.5000 0.0000
Os1 Os 0.1650 0.1650 0.3254
Os2 Os 0.8350 0.8350 0.6746


[2]
# Ac8Co3Os (GGA-PBE, relaxed)
# Calculated total energy   -65.8 eV for the cell shown
# Magnetization   0.000 μB per cell
# DOS at the Fermi energy   0.9266 states/eV per atom
# Formation enthalpy at 0 K   -3.1 kJ per mole of atoms
data_Ac8Co3Os
_cell_length_a 8.2538
_cell_length_b 8.2538
_cell_length_c 8.2384
_cell_angle_alpha 117.26
_cell_angle_beta 117.26
_cell_angle_gamma 62.71
_symmetry_space_group_name_H-M 'P 1'
_symmetry_Int_Tables_number 1
loop_
_symmetry_equiv_pos_as_xyz
'x,y,z'
loop_
_atom_site_label
_atom_site_type_symbol
_atom_site_fract_x
_atom_site_fract_y
_atom_site_fract_z
Ac1 Ac 0.2416 0.7462 0.7542
Ac2 Ac 0.2432 0.2432 0.2572
Ac3 Ac 0.2542 0.2542 0.7418
Ac4 Ac 0.2538 0.7584 0.2458
Ac5 Ac 0.7462 0.2416 0.7542
Ac6 Ac 0.7458 0.7458 0.2582
Ac7 Ac 0.7568 0.7568 0.7428
Ac8 Ac 0.7584 0.2538 0.2458
Co1 Co 0.0000 0.0000 0.0000
Co2 Co 0.0000 0.5000 0.5000
Co3 Co 0.5000 0.0000 0.5000
Os1 Os 0.5000 0.5000 0.0000


[3]
# AcCoOs (GGA-PBE, relaxed)
# Calculated total energy   -88.0 eV for the cell shown
# Magnetization   0.020 μB per cell
# DOS at the Fermi energy   0.9627 states/eV per atom
# Formation enthalpy at 0 K   14.2 kJ per mole of atoms
data_AcCoOs
_cell_length_a 6.3503
_cell_length_b 6.6186
_cell_length_c 7.5368
_cell_angle_alpha 90.00
_cell_angle_beta 119.39
_cell_angle_gamma 90.00
_symmetry_space_group_name_H-M 'P 1'
_symmetry_Int_Tables_number 1
loop_
_symmetry_equiv_pos_as_xyz
'x,y,z'
loop_
_atom_site_label
_atom_site_type_symbol
_atom_site_fract_x
_atom_site_fract_y
_atom_site_fract_z
Ac1 Ac 0.1896 0.1346 0.3768
Ac2 Ac 0.1896 0.3654 0.8768
Ac3 Ac 0.8104 0.6346 0.1232
Ac4 Ac 0.8104 0.8654 0.6232
Co1 Co 0.3198 0.6369 0.5923
Co2 Co 0.3198 0.8631 0.0923
Co3 Co 0.6802 0.1369 0.9077
Co4 Co 0.6802 0.3631 0.4077
Os1 Os 0.3735 0.6039 0.3048
Os2 Os 0.3735 0.8961 0.8048
Os3 Os 0.6265 0.1039 0.1952
Os4 Os 0.6265 0.3961 0.6952


[4]
# Ac8CoOs3 (GGA-PBE, relaxed)
# Calculated total energy   -73.8 eV for the cell shown
# Magnetization   0.000 μB per cell
# DOS at the Fermi energy   0.5033 states/eV per atom
# Formation enthalpy at 0 K   -0.9 kJ per mole of atoms
data_Ac8CoOs3
_cell_length_a 8.2208
_cell_length_b 8.2208
_cell_length_c 8.2404
_cell_angle_alpha 115.59
_cell_angle_beta 115.59
_cell_angle_gamma 64.59
_symmetry_space_group_name_H-M 'P 1'
_symmetry_Int_Tables_number 1
loop_
_symmetry_equiv_pos_as_xyz
'x,y,z'
loop_
_atom_site_label
_atom_site_type_symbol
_atom_site_fract_x
_atom_site_fract_y
_atom_site_fract_z
Ac1 Ac 0.2439 0.2439 0.2547
Ac2 Ac 0.2443 0.7459 0.7567
Ac3 Ac 0.2541 0.7557 0.2433
Ac4 Ac 0.2545 0.2545 0.7445
Ac5 Ac 0.7455 0.7455 0.2555
Ac6 Ac 0.7459 0.2443 0.7567
Ac7 Ac 0.7557 0.2541 0.2433
Ac8 Ac 0.7561 0.7561 0.7453
Co1 Co 0.0000 0.0000 0.0000
Os1 Os 0.0000 0.5000 0.5000
Os2 Os 0.5000 0.0000 0.5000
Os3 Os 0.5000 0.5000 0.0000


[5]
# Ac5Co4Os (GGA-PBE, relaxed)
# Calculated total energy   -59.8 eV for the cell shown
# Magnetization   2.066 μB per cell
# DOS at the Fermi energy   1.2463 states/eV per atom
# Formation enthalpy at 0 K   3.8 kJ per mole of atoms
data_Ac5Co4Os
_cell_length_a 9.4870
_cell_length_b 9.4870
_cell_length_c 7.5158
_cell_angle_alpha 108.68
_cell_angle_beta 108.68
_cell_angle_gamma 25.40
_symmetry_space_group_name_H-M 'P 1'
_symmetry_Int_Tables_number 1
loop_
_symmetry_equiv_pos_as_xyz
'x,y,z'
loop_
_atom_site_label
_atom_site_type_symbol
_atom_site_fract_x
_atom_site_fract_y
_atom_site_fract_z
Ac1 Ac 0.0000 0.0000 0.0000
Ac2 Ac 0.3153 0.3153 0.7117
Ac3 Ac 0.3636 0.3636 0.2505
Ac4 Ac 0.6364 0.6364 0.7495
Ac5 Ac 0.6847 0.6847 0.2883
Co1 Co 0.1239 0.1239 0.4528
Co2 Co 0.4668 0.4668 0.6303
Co3 Co 0.5332 0.5332 0.3697
Co4 Co 0.8761 0.8761 0.5472
Os1 Os 0.0000 0.0000 0.5000


[6]
# Ac2CoOs (GGA-PBE, relaxed)
# Calculated total energy   -26.7 eV for the cell shown
# Magnetization   1.458 μB per cell
# DOS at the Fermi energy   1.6681 states/eV per atom
# Formation enthalpy at 0 K   -4.3 kJ per mole of atoms
data_Ac2CoOs
_cell_length_a 4.2414
_cell_length_b 4.2414
_cell_length_c 8.1126
_cell_angle_alpha 105.09
_cell_angle_beta 105.09
_cell_angle_gamma 59.98
_symmetry_space_group_name_H-M 'P 1'
_symmetry_Int_Tables_number 1
loop_
_symmetry_equiv_pos_as_xyz
'x,y,z'
loop_
_atom_site_label
_atom_site_type_symbol
_atom_site_fract_x
_atom_site_fract_y
_atom_site_fract_z
Ac1 Ac 0.0000 0.0000 0.0000
Ac2 Ac 0.1714 0.1714 0.5166
Co1 Co 0.7538 0.7538 0.2621
Os1 Os 0.4177 0.4177 0.2551


[7]
# Ac12Co5Os (GGA-PBE, relaxed)
# Calculated total energy   -96.6 eV for the cell shown
# Magnetization   0.000 μB per cell
# DOS at the Fermi energy   0.9417 states/eV per atom
# Formation enthalpy at 0 K   -3.0 kJ per mole of atoms
data_Ac12Co5Os
_cell_length_a 7.3978
_cell_length_b 7.3978
_cell_length_c 13.6923
_cell_angle_alpha 95.13
_cell_angle_beta 95.13
_cell_angle_gamma 120.04
_symmetry_space_group_name_H-M 'P 1'
_symmetry_Int_Tables_number 1
loop_
_symmetry_equiv_pos_as_xyz
'x,y,z'
loop_
_atom_site_label
_atom_site_type_symbol
_atom_site_fract_x
_atom_site_fract_y
_atom_site_fract_z
Ac1 Ac 0.0370 0.3700 0.1123
Ac2 Ac 0.1242 0.1242 0.3848
Ac3 Ac 0.2007 0.5380 0.6151
Ac4 Ac 0.2969 0.2969 0.8877
Ac5 Ac 0.3700 0.0370 0.1123
Ac6 Ac 0.4620 0.7993 0.3849
Ac7 Ac 0.5380 0.2007 0.6151
Ac8 Ac 0.6300 0.9630 0.8877
Ac9 Ac 0.7031 0.7031 0.1123
Ac10 Ac 0.7993 0.4620 0.3849
Ac11 Ac 0.8758 0.8758 0.6152
Ac12 Ac 0.9630 0.6300 0.8877
Co1 Co 0.0000 0.0000 0.0000
Co2 Co 0.1668 0.8332 0.5000
Co3 Co 0.3336 0.6664 0.0000
Co4 Co 0.6664 0.3336 0.0000
Co5 Co 0.8332 0.1668 0.5000
Os1 Os 0.5000 0.5000 0.5000


[8]
# Ac5Co2Os (GGA-PBE, relaxed)
# Calculated total energy   -90.7 eV for the cell shown
# Magnetization   0.000 μB per cell
# DOS at the Fermi energy   0.6511 states/eV per atom
# Formation enthalpy at 0 K   7.4 kJ per mole of atoms
data_Ac5Co2Os
_cell_length_a 7.3494
_cell_length_b 7.3494
_cell_length_c 14.4981
_cell_angle_alpha 90.00
_cell_angle_beta 90.00
_cell_angle_gamma 134.16
_symmetry_space_group_name_H-M 'P 1'
_symmetry_Int_Tables_number 1
loop_
_symmetry_equiv_pos_as_xyz
'x,y,z'
loop_
_atom_site_label
_atom_site_type_symbol
_atom_site_fract_x
_atom_site_fract_y
_atom_site_fract_z
Ac1 Ac 0.0475 0.9525 0.6184
Ac2 Ac 0.0475 0.9525 0.8816
Ac3 Ac 0.2490 0.7510 0.2500
Ac4 Ac 0.3274 0.6726 0.5671
Ac5 Ac 0.3274 0.6726 0.9329
Ac6 Ac 0.6726 0.3274 0.0671
Ac7 Ac 0.6726 0.3274 0.4329
Ac8 Ac 0.7510 0.2490 0.7500
Ac9 Ac 0.9525 0.0475 0.1184
Ac10 Ac 0.9525 0.0475 0.3816
Co1 Co 0.1441 0.8559 0.0579
Co2 Co 0.1441 0.8559 0.4421
Co3 Co 0.8559 0.1441 0.5579
Co4 Co 0.8559 0.1441 0.9421
Os1 Os 0.2030 0.7970 0.7500
Os2 Os 0.7970 0.2030 0.2500


[9]
# Ac4CoOs (GGA-PBE, relaxed)
# Calculated total energy   -69.6 eV for the cell shown
# Magnetization   0.000 μB per cell
# DOS at the Fermi energy   0.7119 states/eV per atom
# Formation enthalpy at 0 K   -0.1 kJ per mole of atoms
data_Ac4CoOs
_cell_length_a 9.2644
_cell_length_b 9.2644
_cell_length_c 7.2705
_cell_angle_alpha 106.50
_cell_angle_beta 106.50
_cell_angle_gamma 123.63
_symmetry_space_group_name_H-M 'P 1'
_symmetry_Int_Tables_number 1
loop_
_symmetry_equiv_pos_as_xyz
'x,y,z'
loop_
_atom_site_label
_atom_site_type_symbol
_atom_site_fract_x
_atom_site_fract_y
_atom_site_fract_z
Ac1 Ac 0.0477 0.4453 0.2477
Ac2 Ac 0.1898 0.3063 0.7593
Ac3 Ac 0.3063 0.1898 0.2593
Ac4 Ac 0.4453 0.0477 0.7477
Ac5 Ac 0.5547 0.9523 0.2523
Ac6 Ac 0.6937 0.8102 0.7407
Ac7 Ac 0.8102 0.6937 0.2407
Ac8 Ac 0.9523 0.5547 0.7523
Co1 Co 0.1677 0.8323 0.2500
Co2 Co 0.8323 0.1677 0.7500
Os1 Os 0.3361 0.6639 0.7500
Os2 Os 0.6639 0.3361 0.2500


[10]
# Ac16Co5Os3 (GGA-PBE, relaxed)
# Calculated total energy   -135.6 eV for the cell shown
# Magnetization   0.000 μB per cell
# DOS at the Fermi energy   0.5530 states/eV per atom
# Formation enthalpy at 0 K   -2.5 kJ per mole of atoms
data_Ac16Co5Os3
_cell_length_a 8.5279
_cell_length_b 8.5279
_cell_length_c 13.6465
_cell_angle_alpha 90.06
_cell_angle_beta 90.06
_cell_angle_gamma 60.19
_symmetry_space_group_name_H-M 'P 1'
_symmetry_Int_Tables_number 1
loop_
_symmetry_equiv_pos_as_xyz
'x,y,z'
loop_
_atom_site_label
_atom_site_type_symbol
_atom_site_fract_x
_atom_site_fract_y
_atom_site_fract_z
Ac1 Ac 0.0000 0.0000 0.0000
Ac2 Ac 0.1666 0.1666 0.5064
Ac3 Ac 0.1669 0.6628 0.5012
Ac4 Ac 0.3192 0.3192 0.7439
Ac5 Ac 0.3211 0.8596 0.7453
Ac6 Ac 0.3454 0.3454 0.2462
Ac7 Ac 0.3482 0.8077 0.2459
Ac8 Ac 0.5000 0.5000 0.0045
Ac9 Ac 0.4999 0.9969 0.0017
Ac10 Ac 0.6628 0.1669 0.5012
Ac11 Ac 0.6658 0.6658 0.5031
Ac12 Ac 0.8077 0.3482 0.2459
Ac13 Ac 0.8292 0.8292 0.7298
Ac14 Ac 0.8307 0.8307 0.2325
Ac15 Ac 0.8596 0.3211 0.7453
Ac16 Ac 0.9969 0.4999 0.0017
Co1 Co 0.1705 0.1705 0.8838
Co2 Co 0.4988 0.9985 0.6183
Co3 Co 0.5035 0.5035 0.3896
Co4 Co 0.6659 0.6659 0.1194
Co5 Co 0.9985 0.4988 0.6183
Os1 Os 0.1655 0.6666 0.1189
Os2 Os 0.6666 0.1655 0.1189
Os3 Os 0.9978 0.9978 0.6185